(1)
# MgScI3, relaxed, DFT PBEsol
# formation energy without anion corrections: -0.625 eV/atom
# crystal system: cubic
data_MgScI3
_cell_length_a 5.665
_cell_length_b 5.665
_cell_length_c 5.665
_cell_angle_alpha 90.00
_cell_angle_beta 90.00
_cell_angle_gamma 90.00
_space_group_name_H-M_alt 'P m -3 m'
_space_group_IT_number 221
_space_group_name_Hall '-P 4 2 3'
loop_
_atom_site_label
_atom_site_fract_x
_atom_site_fract_y
_atom_site_fract_z
Mg1 0.000 0.000 0.000
Sc1 0.500 0.500 0.500
I1 0.000 0.500 0.500


(2)
# MgScTe2I, relaxed, DFT PBEsol
# formation energy without anion corrections: -0.420 eV/atom
# crystal system: tetragonal
data_MgScTe2I
_cell_length_a 5.544
_cell_length_b 5.544
_cell_length_c 5.521
_cell_angle_alpha 90.00
_cell_angle_beta 90.00
_cell_angle_gamma 90.00
_space_group_name_H-M_alt 'P 4/m m m'
_space_group_IT_number 123
_space_group_name_Hall '-P 4 2'
loop_
_atom_site_label
_atom_site_fract_x
_atom_site_fract_y
_atom_site_fract_z
Mg1 0.000 0.000 0.000
Sc1 0.500 0.500 0.500
Te1 0.000 0.500 0.500
I1 0.500 0.500 0.000


Number 1: total energy -3.3491 eV/atom. Number 2: total energy -3.8482 eV/atom.